(1)
Here is a geometry-optimized SmDy6In6 structure from the Alexandria database. Energies are from GGA-PBE.

Lattice parameters (Å, degrees): 6.2617 6.2617 10.7678 90.00 90.00 120.00
Last column: nearest neighbours and their distance in Å.
Positions (direct):
Sm (0.0000, 0.0000, 0.0000)  8 Dy 3.62-3.65
Dy (0.0000, 0.0000, 0.3386)  6 In 3.29, 1 Dy 3.48, 1 Sm 3.65
Dy (0.6667, 0.3333, 0.5000)  6 In 3.28, 3 Dy 3.62
In (0.5000, 0.5000, 0.2456)  4 In 3.13, 6 Dy 3.20-3.29
Dy (0.3333, 0.6667, 0.5000)  6 In 3.28, 3 Dy 3.62
Dy (0.6667, 0.3333, 0.0000)  6 In 3.20
In (0.0000, 0.5000, 0.2456)  4 In 3.13, 6 Dy 3.20-3.29
In (0.0000, 0.5000, 0.7544)  4 In 3.13, 6 Dy 3.20-3.29
In (0.5000, 0.5000, 0.7544)  4 In 3.13, 6 Dy 3.20-3.29
Dy (0.0000, 0.0000, 0.6614)  6 In 3.29, 1 Dy 3.48, 1 Sm 3.65
In (0.5000, 0.0000, 0.2456)  4 In 3.13, 6 Dy 3.20-3.29
In (0.5000, 0.0000, 0.7544)  4 In 3.13, 6 Dy 3.20-3.29
Dy (0.3333, 0.6667, 0.0000)  6 In 3.20

For the formation energy from the elements, the calculation gives -0.329 eV per atom. Its space-group type is P6/mmm. The value obtained for the density of states at the Fermi level is 16.4 states/eV per cell.

***

(2)
Here is a geometry-optimized GeTeF2 structure from the Alexandria database. Energies are from GGA-PBE.

Lattice parameters (Å, degrees): 6.4452 6.4452 6.6595 61.06 61.06 90.00
Last column: nearest neighbours and their distance in Å.
Positions (direct):
F (0.8750, 0.6654, 0.7500)  2 Ge 2.03
F (0.3346, 0.6250, 0.2500)  2 Ge 2.03
Ge (0.5000, 0.5000, 0.0000)  4 F 2.03
Te (0.0000, 0.0000, 0.0000)  8 F 3.58-3.99
F (0.3750, 0.5846, 0.7500)  2 Ge 2.03
Te (0.7500, 0.2500, 0.5000)  8 F 3.58-3.99
Ge (0.2500, 0.7500, 0.5000)  4 F 2.03
F (0.4154, 0.1250, 0.2500)  2 Ge 2.03

Its space-group type is I-42d. The value obtained for the density of states at the Fermi level is 4.1 states/eV per cell. As for the energy above the most stable polymorph in this dataset: 0.033 eV/atom.

***

(3)
Here is a geometry-optimized Na2RePbBr structure from the Alexandria database. Energies are from GGA-PBE.

Lattice parameters (Å, degrees): 5.8622 4.5897 5.8622 90.00 90.00 90.00
Last column: nearest neighbours and their distance in Å.
Positions (direct):
Br (0.0000, 0.5000, 0.0000)  2 Re 2.29
Pb (0.5000, 0.5000, 0.5000)  8 Na 3.72, 4 Br 4.15
Na (0.0000, 0.0000, 0.5000)  2 Re 2.93
Na (0.5000, 0.0000, 0.0000)  2 Re 2.93
Re (0.0000, 0.0000, 0.0000)  2 Br 2.29

The value obtained for the total energy is -3.12 eV/atom. Its space-group type is P4/mmm. The value obtained for the density of states at the Fermi level is 4.2 states/eV per cell.

***

(4)
Here is a geometry-optimized Sm3Sb5Pd6 structure from the Alexandria database. Energies are from GGA-PBE.

Lattice parameters (Å, degrees): 4.4488 10.1914 13.4151 90.00 90.00 90.00
Last column: nearest neighbours and their distance in Å.
Positions (direct):
Pd (0.0000, 0.6057, 0.3181)  4 Sb 2.62-2.70, 1 Pd 2.81
Sb (0.0000, 0.5239, 0.1264)  5 Pd 2.69-2.80
Sm (0.5000, 0.7552, 0.1757)  7 Pd 3.28-3.40, 6 Sb 3.29-3.32
Sm (0.0000, 0.2448, 0.6757)  7 Pd 3.28-3.40, 6 Sb 3.29-3.32
Pd (0.0000, 0.9903, 0.1604)  4 Sb 2.69-2.74
Sm (0.0000, 0.2448, 0.3243)  7 Pd 3.28-3.40, 6 Sb 3.29-3.32
Pd (0.5000, 0.5318, 0.0000)  4 Sb 2.80, 2 Pd 2.81
Sb (0.5000, 0.4761, 0.3736)  5 Pd 2.69-2.80
Sm (0.0000, 0.2429, 0.0000)  6 Sb 3.29-3.33, 8 Pd 3.36-3.64
Sb (0.0000, 0.5239, 0.8736)  5 Pd 2.69-2.80
Pd (0.0000, 0.9903, 0.8396)  4 Sb 2.69-2.74
Pd (0.5000, 0.3943, 0.8181)  4 Sb 2.62-2.70, 1 Pd 2.81
Pd (0.0000, 0.0184, 0.5000)  4 Sb 2.71-2.74
Sb (0.0000, 0.8245, 0.0000)  4 Pd 2.74
Sm (0.5000, 0.7552, 0.8243)  7 Pd 3.28-3.40, 6 Sb 3.29-3.32
Sb (0.5000, 0.1389, 0.1624)  5 Pd 2.62-2.72
Pd (0.5000, 0.3943, 0.1819)  4 Sb 2.62-2.70, 1 Pd 2.81
Pd (0.5000, 0.9816, 0.0000)  4 Sb 2.71-2.74
Pd (0.0000, 0.6057, 0.6819)  4 Sb 2.62-2.70, 1 Pd 2.81
Pd (0.0000, 0.4682, 0.5000)  4 Sb 2.80, 2 Pd 2.81
Sb (0.0000, 0.8611, 0.6624)  5 Pd 2.62-2.72
Pd (0.5000, 0.0097, 0.3396)  4 Sb 2.69-2.74
Sb (0.5000, 0.1389, 0.8376)  5 Pd 2.62-2.72
Sb (0.5000, 0.4761, 0.6264)  5 Pd 2.69-2.80
Sb (0.0000, 0.8611, 0.3376)  5 Pd 2.62-2.72
Sm (0.5000, 0.7571, 0.5000)  6 Sb 3.29-3.33, 8 Pd 3.36-3.64
Sb (0.5000, 0.1755, 0.5000)  4 Pd 2.74
Pd (0.5000, 0.0097, 0.6604)  4 Sb 2.69-2.74

The value obtained for the total energy is -5.58 eV/atom. Its space-group type is Pmmn. The value obtained for the density of states at the Fermi level is 14.1 states/eV per cell.

***

(5)
Here is a geometry-optimized SrMn5Cl12 structure from the Alexandria database. Energies are from GGA-PBE.

Lattice parameters (Å, degrees): 6.6045 6.6110 13.1073 89.87 89.74 60.03
Last column: nearest neighbours and their distance in Å.
Positions (direct):
Cl (0.4997, 0.3329, 0.6022)  3 Mn 2.57-2.58
Cl (0.3746, 0.6267, 0.8886)  2 Mn 2.54-2.55
Cl (0.1655, 0.0000, 0.6027)  3 Mn 2.58
Cl (0.0013, 0.3733, 0.8885)  2 Mn 2.54-2.55
Mn (0.5000, 0.0000, 0.5000)  6 Cl 2.58
Cl (0.6277, 0.0000, 0.8885)  2 Mn 2.55
Cl (0.3723, 0.0000, 0.1115)  2 Mn 2.55
Cl (0.5003, 0.6671, 0.3978)  3 Mn 2.57-2.58
Cl (0.9987, 0.6267, 0.1115)  2 Mn 2.54-2.55
Mn (0.1667, 0.6666, 0.5000)  6 Cl 2.57-2.58
Cl (0.6254, 0.3733, 0.1114)  2 Mn 2.54-2.55
Cl (0.1673, 0.3329, 0.3978)  3 Mn 2.57-2.58
Cl (0.8327, 0.6671, 0.6022)  3 Mn 2.57-2.58
Mn (0.6667, 0.6667, 0.0000)  6 Cl 2.54-2.55
Cl (0.8345, 0.0000, 0.3973)  3 Mn 2.58
Mn (0.3334, 0.3333, 0.0000)  6 Cl 2.54-2.55
Mn (0.8333, 0.3335, 0.5000)  6 Cl 2.57-2.58
Sr (0.0000, 0.0000, 0.0000)  6 Cl 2.87

The value obtained for the total energy is -5.16 eV/atom. Its space-group type is C2/m. The value obtained for the density of states at the Fermi level is 0.0 states/eV per cell.

***

(6)
Here is a geometry-optimized Mg2TeP structure from the Alexandria database. Energies are from GGA-PBE.

Lattice parameters (Å, degrees): 3.1210 3.1210 9.7446 90.00 90.00 89.98
Last column: nearest neighbours and their distance in Å.
Positions (direct):
P (0.0000, 0.0000, 0.4299)  4 Mg 2.67
Te (0.5000, 0.5000, 0.7732)  4 Te 3.12, 4 Mg 3.28
Mg (0.0000, 0.0000, 0.0219)  8 Mg 3.12-3.31, 4 Te 3.28
Mg (0.5000, 0.5000, 0.2750)  4 P 2.67

Its space-group type is P4mm. The value obtained for the density of states at the Fermi level is 2.3 states/eV per cell. As for the energy above the most stable polymorph in this dataset: 0.592 eV/atom.

***

(7)
Here is a geometry-optimized Ac4YHo structure from the Alexandria database. Energies are from GGA-PBE.

Lattice parameters (Å, degrees): 7.1341 7.1341 7.1341 60.00 60.00 60.00
Last column: nearest neighbours and their distance in Å.
Positions (direct):
Ac (0.6250, 0.1251, 0.6250)  6 Ac 3.57
Y (0.0000, 0.0000, 0.0000)  12 Ac 4.18, 4 Ho 4.37
Ac (0.6250, 0.6250, 0.6250)  6 Ac 3.57
Ac (0.6250, 0.6250, 0.1251)  6 Ac 3.57
Ac (0.1251, 0.6250, 0.6250)  6 Ac 3.57
Ho (0.2500, 0.2500, 0.2500)  12 Ac 4.18, 4 Y 4.37

For the formation energy from the elements, the calculation gives 0.379 eV per atom. Its space-group type is F-43m. The value obtained for the density of states at the Fermi level is 11.1 states/eV per cell. As for the energy above the most stable polymorph in this dataset: 0.215 eV/atom.

***

(8)
Here is a geometry-optimized ErPuBi2 structure from the Alexandria database. Energies are from GGA-PBE.

Lattice parameters (Å, degrees): 4.4962 4.4962 7.7789 73.20 73.20 60.00
Last column: nearest neighbours and their distance in Å.
Positions (direct):
Bi (0.2484, 0.2484, 0.2549)  3 Er 3.16, 3 Pu 3.20
Bi (0.7516, 0.7516, 0.7451)  3 Er 3.16, 3 Pu 3.20
Pu (0.0000, 0.0000, 0.0000)  6 Bi 3.20
Er (0.5000, 0.5000, 0.5000)  6 Bi 3.16

For the formation energy from the elements, the calculation gives -0.569 eV per atom. Its space-group type is R-3m. The value obtained for the density of states at the Fermi level is 15.3 states/eV per cell. As for the energy above the most stable polymorph in this dataset: 0.000 eV/atom.

***

(9)
Here is a geometry-optimized AgAsClF2 structure from the Alexandria database. Energies are from GGA-PBE.

Lattice parameters (Å, degrees): 4.0738 6.2321 4.0738 90.00 90.00 90.00
Last column: nearest neighbours and their distance in Å.
Positions (direct):
F (0.5000, 0.0000, 0.0000)  2 As 2.04
F (0.0000, 0.0000, 0.5000)  2 As 2.04
As (0.0000, 0.0000, 0.0000)  4 F 2.04
Ag (0.5000, 0.5000, 0.5000)  4 Cl 2.88
Cl (0.0000, 0.5000, 0.0000)  4 Ag 2.88, 2 As 3.12

The value obtained for the total energy is -3.54 eV/atom. Its space-group type is P4/mmm. The value obtained for the density of states at the Fermi level is 1.3 states/eV per cell.

***

(10)
Here is a geometry-optimized PuPaSn2 structure from the Alexandria database. Energies are from GGA-PBE.

Lattice parameters (Å, degrees): 4.5880 4.7340 4.7340 90.00 90.00 90.00
Last column: nearest neighbours and their distance in Å.
Positions (direct):
Pu (0.5000, 0.5000, 0.5000)  8 Sn 3.30, 4 Pa 3.35
Pa (0.5000, 0.0000, 0.0000)  8 Sn 3.30, 4 Pu 3.35
Sn (0.0000, 0.5000, 0.0000)  4 Pa 3.30, 4 Pu 3.30, 4 Sn 3.35
Sn (0.0000, 0.0000, 0.5000)  4 Pu 3.30, 4 Pa 3.30, 4 Sn 3.35

For the formation energy from the elements, the calculation gives -0.285 eV per atom. Its space-group type is P4/mmm. The value obtained for the density of states at the Fermi level is 9.9 states/eV per cell. As for the energy above the most stable polymorph in this dataset: 0.003 eV/atom.